# UBi2I GGA-PBE optimized geometry
# ΔE_f (raw) in eV per atom: -0.01
# DOS(E_F) in states/eV per atom: 1.545
# Crystal system: tetragonal
# Total moment in μB per formula unit: 2.330
# Calculated total energy in eV per atom: -5.164
data_UBi2I
_chemical_formula_sum 'U1 Bi2 I1'
_space_group_name_H-M_alt 'P 4/m m m'
_space_group_IT_number 123
_space_group_name_Hall '-P 4 2'
_cell_length_a 4.209
_cell_length_b 4.209
_cell_length_c 7.379
_cell_angle_alpha 90.00
_cell_angle_beta 90.00
_cell_angle_gamma 90.00
loop_
_atom_site_label
_atom_site_fract_x
_atom_site_fract_y
_atom_site_fract_z
U1 0.000 0.000 0.000
Bi1 0.500 0.500 0.203
I1 0.000 0.000 0.500

---

# VBi3I GGA-PBE optimized geometry
# ΔE_f (raw) in eV per atom: 0.20
# DOS(E_F) in states/eV per atom: 0.532
# Crystal system: cubic
# Total moment in μB per formula unit: 0.000
# Excess energy over the best structure of this formula in the dataset in meV per atom: 0
# Calculated total energy in eV per atom: -4.260
data_VBi3I
_chemical_formula_sum 'V1 Bi3 I1'
_space_group_name_H-M_alt 'P m -3 m'
_space_group_IT_number 221
_space_group_name_Hall '-P 4 2 3'
_cell_length_a 5.332
_cell_length_b 5.332
_cell_length_c 5.332
_cell_angle_alpha 90.00
_cell_angle_beta 90.00
_cell_angle_gamma 90.00
loop_
_atom_site_label
_atom_site_fract_x
_atom_site_fract_y
_atom_site_fract_z
V1 0.000 0.000 0.000
Bi1 0.000 0.000 0.500
I1 0.500 0.500 0.500

---

# V2BiI GGA-PBE optimized geometry
# ΔE_f (raw) in eV per atom: 0.67
# DOS(E_F) in states/eV per atom: 0.888
# Crystal system: tetragonal
# Total moment in μB per formula unit: 6.000
# Excess energy over the best structure of this formula in the dataset in meV per atom: 7
# Calculated total energy in eV per atom: -5.249
data_V2BiI
_chemical_formula_sum 'V8 Bi4 I4'
_space_group_name_H-M_alt 'I -4 2 d'
_space_group_IT_number 122
_space_group_name_Hall 'I -4 2bw'
_cell_length_a 6.286
_cell_length_b 6.286
_cell_length_c 13.061
_cell_angle_alpha 90.00
_cell_angle_beta 90.00
_cell_angle_gamma 90.00
loop_
_atom_site_label
_atom_site_fract_x
_atom_site_fract_y
_atom_site_fract_z
V1 0.249 0.250 0.125
Bi1 0.000 0.000 0.000
I1 0.000 0.000 0.500

---

# V2BiI GGA-PBE optimized geometry
# ΔE_f (raw) in eV per atom: 0.66
# DOS(E_F) in states/eV per atom: 1.303
# Crystal system: cubic
# Total moment in μB per formula unit: 2.615
# Excess energy over the best structure of this formula in the dataset in meV per atom: 0
# Calculated total energy in eV per atom: -5.257
data_V2BiI
_chemical_formula_sum 'V8 Bi4 I4'
_space_group_name_H-M_alt 'F m -3 m'
_space_group_IT_number 225
_space_group_name_Hall '-F 4 2 3'
_cell_length_a 6.846
_cell_length_b 6.846
_cell_length_c 6.846
_cell_angle_alpha 90.00
_cell_angle_beta 90.00
_cell_angle_gamma 90.00
loop_
_atom_site_label
_atom_site_fract_x
_atom_site_fract_y
_atom_site_fract_z
V1 0.250 0.250 0.250
Bi1 0.000 0.000 0.000
I1 0.000 0.000 0.500

---

# VBiW2I GGA-PBE optimized geometry
# ΔE_f (raw) in eV per atom: 2.22
# DOS(E_F) in states/eV per atom: 1.450
# Crystal system: tetragonal
# Total moment in μB per formula unit: 0.022
# Calculated total energy in eV per atom: -5.867
data_VBiW2I
_chemical_formula_sum 'V1 Bi1 W2 I1'
_space_group_name_H-M_alt 'P 4/m m m'
_space_group_IT_number 123
_space_group_name_Hall '-P 4 2'
_cell_length_a 4.974
_cell_length_b 4.974
_cell_length_c 4.787
_cell_angle_alpha 90.00
_cell_angle_beta 90.00
_cell_angle_gamma 90.00
loop_
_atom_site_label
_atom_site_fract_x
_atom_site_fract_y
_atom_site_fract_z
V1 0.000 0.000 0.000
Bi1 0.500 0.500 0.000
W1 0.000 0.500 0.500
I1 0.000 0.000 0.500

---

# Bi2W2I GGA-PBE optimized geometry
# ΔE_f (raw) in eV per atom: 1.14
# DOS(E_F) in states/eV per atom: 0.632
# Crystal system: tetragonal
# Total moment in μB per formula unit: 0.000
# Excess energy over the best structure of this formula in the dataset in meV per atom: 183
# Calculated total energy in eV per atom: -5.903
data_Bi2W2I
_chemical_formula_sum 'Bi4 W4 I2'
_space_group_name_H-M_alt 'I 4/m m m'
_space_group_IT_number 139
_space_group_name_Hall '-I 4 2'
_cell_length_a 5.467
_cell_length_b 5.467
_cell_length_c 9.150
_cell_angle_alpha 90.00
_cell_angle_beta 90.00
_cell_angle_gamma 90.00
loop_
_atom_site_label
_atom_site_fract_x
_atom_site_fract_y
_atom_site_fract_z
Bi1 0.000 0.500 0.250
W1 0.000 0.000 0.126
I1 0.000 0.000 0.500

---

# Bi2W2I GGA-PBE optimized geometry
# ΔE_f (raw) in eV per atom: 0.96
# DOS(E_F) in states/eV per atom: 0.886
# Crystal system: tetragonal
# Total moment in μB per formula unit: 0.000
# Excess energy over the best structure of this formula in the dataset in meV per atom: 0
# Calculated total energy in eV per atom: -6.086
data_Bi2W2I
_chemical_formula_sum 'Bi4 W4 I2'
_space_group_name_H-M_alt 'P 4/m b m'
_space_group_IT_number 127
_space_group_name_Hall '-P 4 2ab'
_cell_length_a 8.579
_cell_length_b 8.579
_cell_length_c 3.561
_cell_angle_alpha 90.00
_cell_angle_beta 90.00
_cell_angle_gamma 90.00
loop_
_atom_site_label
_atom_site_fract_x
_atom_site_fract_y
_atom_site_fract_z
Bi1 0.165 0.335 0.000
W1 0.098 0.598 0.500
I1 0.000 0.000 0.500

---

# Bi3WI GGA-PBE optimized geometry
# ΔE_f (raw) in eV per atom: 2.06
# DOS(E_F) in states/eV per atom: 0.820
# Crystal system: cubic
# Total moment in μB per formula unit: 3.220
# Excess energy over the best structure of this formula in the dataset in meV per atom: 1536
# Calculated total energy in eV per atom: -3.166
data_Bi3WI
_chemical_formula_sum 'Bi3 W1 I1'
_space_group_name_H-M_alt 'P m -3 m'
_space_group_IT_number 221
_space_group_name_Hall '-P 4 2 3'
_cell_length_a 5.820
_cell_length_b 5.820
_cell_length_c 5.820
_cell_angle_alpha 90.00
_cell_angle_beta 90.00
_cell_angle_gamma 90.00
loop_
_atom_site_label
_atom_site_fract_x
_atom_site_fract_y
_atom_site_fract_z
Bi1 0.000 0.000 0.500
W1 0.500 0.500 0.500
I1 0.000 0.000 0.000

---

# Bi3WI GGA-PBE optimized geometry
# ΔE_f (raw) in eV per atom: 0.53
# DOS(E_F) in states/eV per atom: 0.811
# Crystal system: cubic
# Total moment in μB per formula unit: 0.000
# Excess energy over the best structure of this formula in the dataset in meV per atom: 0
# Calculated total energy in eV per atom: -4.702
data_Bi3WI
_chemical_formula_sum 'Bi3 W1 I1'
_space_group_name_H-M_alt 'P m -3 m'
_space_group_IT_number 221
_space_group_name_Hall '-P 4 2 3'
_cell_length_a 5.446
_cell_length_b 5.446
_cell_length_c 5.446
_cell_angle_alpha 90.00
_cell_angle_beta 90.00
_cell_angle_gamma 90.00
loop_
_atom_site_label
_atom_site_fract_x
_atom_site_fract_y
_atom_site_fract_z
Bi1 0.000 0.000 0.500
W1 0.000 0.000 0.000
I1 0.500 0.500 0.500

---

# Bi2WI GGA-PBE optimized geometry
# ΔE_f (raw) in eV per atom: 0.98
# DOS(E_F) in states/eV per atom: 1.321
# Crystal system: tetragonal
# Total moment in μB per formula unit: 0.000
# Excess energy over the best structure of this formula in the dataset in meV per atom: 0
# Calculated total energy in eV per atom: -4.588
data_Bi2WI
_chemical_formula_sum 'Bi8 W4 I4'
_space_group_name_H-M_alt 'I -4 2 d'
_space_group_IT_number 122
_space_group_name_Hall 'I -4 2bw'
_cell_length_a 7.152
_cell_length_b 7.152
_cell_length_c 13.044
_cell_angle_alpha 90.00
_cell_angle_beta 90.00
_cell_angle_gamma 90.00
loop_
_atom_site_label
_atom_site_fract_x
_atom_site_fract_y
_atom_site_fract_z
Bi1 0.153 0.250 0.125
W1 0.000 0.000 0.000
I1 0.000 0.000 0.500

---

# BiWI2 GGA-PBE optimized geometry
# ΔE_f (raw) in eV per atom: 1.35
# DOS(E_F) in states/eV per atom: 0.729
# Crystal system: cubic
# Total moment in μB per formula unit: 0.001
# Excess energy over the best structure of this formula in the dataset in meV per atom: 703
# Calculated total energy in eV per atom: -3.633
data_BiWI2
_chemical_formula_sum 'Bi4 W4 I8'
_space_group_name_H-M_alt 'F m -3 m'
_space_group_IT_number 225
_space_group_name_Hall '-F 4 2 3'
_cell_length_a 7.402
_cell_length_b 7.402
_cell_length_c 7.402
_cell_angle_alpha 90.00
_cell_angle_beta 90.00
_cell_angle_gamma 90.00
loop_
_atom_site_label
_atom_site_fract_x
_atom_site_fract_y
_atom_site_fract_z
Bi1 0.000 0.000 0.000
W1 0.000 0.000 0.500
I1 0.250 0.250 0.250

---

# Bi2WI GGA-PBE optimized geometry
# ΔE_f (raw) in eV per atom: 1.25
# DOS(E_F) in states/eV per atom: 1.701
# Crystal system: cubic
# Total moment in μB per formula unit: 2.638
# Excess energy over the best structure of this formula in the dataset in meV per atom: 273
# Calculated total energy in eV per atom: -4.315
data_Bi2WI
_chemical_formula_sum 'Bi8 W4 I4'
_space_group_name_H-M_alt 'F m -3 m'
_space_group_IT_number 225
_space_group_name_Hall '-F 4 2 3'
_cell_length_a 7.575
_cell_length_b 7.575
_cell_length_c 7.575
_cell_angle_alpha 90.00
_cell_angle_beta 90.00
_cell_angle_gamma 90.00
loop_
_atom_site_label
_atom_site_fract_x
_atom_site_fract_y
_atom_site_fract_z
Bi1 0.250 0.250 0.250
W1 0.000 0.000 0.000
I1 0.000 0.000 0.500

---

Which of these has the highest DOS(E_F)? number 12

---

ΔE_f (raw) of number 2 (VBi3I)? 0.20 eV per atom

---

calculated total energy of number 10 (Bi2WI)? -4.588 eV per atom